[1]
VASP calculation (PBE) on PmDy2ReO8 after structural relaxation.

Geometry as CIF:
```
data_PmDy2ReO8
_symmetry_space_group_name_H-M 'C m m m'
_symmetry_Int_Tables_number 65
_symmetry_space_group_name_Hall '-C 2 2'
_cell_length_a 7.1712
_cell_length_b 7.1766
_cell_length_c 6.8430
_cell_angle_alpha 90.00
_cell_angle_beta 90.00
_cell_angle_gamma 90.00
loop_
_atom_site_label
_atom_site_fract_x
_atom_site_fract_y
_atom_site_fract_z
Pm1 0.0000 0.0000 0.0000
Dy1 0.0000 0.5000 0.2489
Re1 0.0000 0.0000 0.5000
O1 0.0000 0.2652 0.5000
O2 0.0000 0.3135 0.0000
O3 0.1831 0.0000 0.2974
```

=====

[2]
VASP calculation (PBE) on Pm2DyReO8 after structural relaxation.

Geometry as CIF:
```
data_Pm2DyReO8
_symmetry_space_group_name_H-M 'C m m m'
_symmetry_Int_Tables_number 65
_symmetry_space_group_name_Hall '-C 2 2'
_cell_length_a 7.2368
_cell_length_b 7.3402
_cell_length_c 6.8605
_cell_angle_alpha 90.00
_cell_angle_beta 90.00
_cell_angle_gamma 90.00
loop_
_atom_site_label
_atom_site_fract_x
_atom_site_fract_y
_atom_site_fract_z
Pm1 0.0000 0.0000 0.2500
Dy1 0.0000 0.5000 0.0000
Re1 0.0000 0.5000 0.5000
O1 0.0000 0.3233 0.2940
O2 0.1978 0.0000 0.0000
O3 0.2390 0.0000 0.5000
```

=====

[3]
VASP calculation (PBE) on PmDy2RuO8 after structural relaxation.

Geometry as CIF:
```
data_PmDy2RuO8
_symmetry_space_group_name_H-M 'P 1 2/m 1'
_symmetry_Int_Tables_number 10
_symmetry_space_group_name_Hall '-P 2y'
_cell_length_a 5.0634
_cell_length_b 6.8395
_cell_length_c 5.0743
_cell_angle_alpha 90.00
_cell_angle_beta 90.14
_cell_angle_gamma 90.00
loop_
_atom_site_label
_atom_site_fract_x
_atom_site_fract_y
_atom_site_fract_z
Pm1 0.0000 0.0000 0.0000
Dy1 0.5000 0.2496 0.5000
Ru1 0.0000 0.5000 0.0000
O1 0.1862 0.2948 0.1841
O2 0.2643 0.5000 0.7341
O3 0.3127 0.0000 0.6846
```

=====

N(E_F) (computed, states/eV/f.u.): 0.000, 0.000, 3.489
Total magnetic moment (computed, μB/f.u.): 0.00, 0.00, 1.04
ΔE_f (raw) (computed, eV/atom): -2.77, -2.71, -2.37